Computed, not measured: a geometry-optimized Tl2MoO4 structure at the GGA+U level of DFT.

POSCAR file:
```
Tl2MoO4
1.0
9.0605 0.0000 0.0000
0.0000 9.3796 0.0000
-4.2412 0.0000 4.6616
Tl Mo O
4 2 8
direct
0.0000 0.2129 0.0000
0.0000 0.7871 0.0000
0.5000 0.2871 0.0000
0.5000 0.7129 0.0000
0.4764 0.5000 0.4748
0.9764 0.0000 0.4748
0.1254 0.0000 0.8578
0.1256 0.0000 0.3806
0.3258 0.3416 0.3281
0.3258 0.6584 0.3281
0.6254 0.5000 0.8578
0.6256 0.5000 0.3806
0.8258 0.1584 0.3281
0.8258 0.8416 0.3281
```

Properties
**Total magnetization**: 0.0 Bohr magnetons per cell
**Polymorph energy (0 for the lowest one)**: 21 meV/atom